MgH2Ir6 after structural relaxation. Source: the Alexandria database, functional PBE.

Output
For the energy above the most stable polymorph in this dataset, the calculation gives 18 meV per atom. The value obtained for the density of states at the Fermi level is 5.3 states/eV/cell. The electronic total energy comes out at -61.4 eV/cell.

The structure in CIF format:
```
data_MgH2Ir6
_chemical_formula_sum 'Mg1 H2 Ir6'
_space_group_name_H-M_alt 'P 1'
_space_group_IT_number 1
_cell_length_a 4.8146
_cell_length_b 5.4377
_cell_length_c 5.2219
_cell_angle_alpha 74.56
_cell_angle_beta 62.55
_cell_angle_gamma 90.00
loop_
_space_group_symop_operation_xyz
'x,y,z'
loop_
_atom_site_label
_atom_site_fract_x
_atom_site_fract_y
_atom_site_fract_z
_atom_site_occupancy
Ir1 0.5603 0.2400 0.2849 1
Ir2 0.6109 0.1108 0.7915 1
Ir3 0.0529 0.9846 0.3120 1
Ir4 0.5749 0.7375 0.2680 1
H1 0.3015 0.9243 0.5015 1
H2 0.0130 0.7977 0.0785 1
Ir5 0.6124 0.6113 0.7886 1
Mg1 0.1235 0.3610 0.7901 1
Ir6 0.0552 0.4820 0.2952 1
```